# DyYZr PBE relaxed
data_DyYZr
_chemical_formula_sum 'Dy4 Y4 Zr4'
_cell_length_a 7.384
_cell_length_b 7.384
_cell_length_c 7.384
_cell_angle_alpha 90.00
_cell_angle_beta 90.00
_cell_angle_gamma 90.00
_symmetry_space_group_name_H-M 'P 1'
_symmetry_Int_Tables_number 1
_symmetry_space_group_name_Hall 'P 1'
loop_
_atom_site_label
_atom_site_type_symbol
_atom_site_fract_x
_atom_site_fract_y
_atom_site_fract_z
Dy1 Dy 0.000 0.000 0.000
Dy2 Dy 0.000 0.500 0.500
Dy3 Dy 0.500 0.000 0.500
Dy4 Dy 0.500 0.500 0.000
Y1 Y 0.000 0.000 0.500
Y2 Y 0.000 0.500 0.000
Y3 Y 0.500 0.000 0.000
Y4 Y 0.500 0.500 0.500
Zr1 Zr 0.250 0.250 0.250
Zr2 Zr 0.250 0.750 0.750
Zr3 Zr 0.750 0.250 0.750
Zr4 Zr 0.750 0.750 0.250
# ΔE_f (eV/atom): 0.80
# Energy (eV per cell): -68.86
# Distance to the lowest polymorph of the same formula (kcal/mol of atoms): 0.00